Entry P
This record from Alexandria describes Tl2ReP after structural relaxation. The functional is PBEsol.

Output
DOS at the Fermi energy: 2.802 states/eV/f.u.
Calculated density: 11.0 g/cm³

Cell lengths 2.9706, 4.4720, 7.2944 Å; angles 90.00, 101.75, 90.00 degrees
With the nearest neighbours (Å) after each atom.
Element x y z (fractional)
P  0.7570  0.0000  0.5139  2 Re 2.24
Tl  0.0766  0.0000  0.1532  2 Tl 2.97, 2 P 2.97
Tl  0.4272  0.5000  0.8544  2 Re 2.92, 2 Tl 2.97
Re  0.7512  0.5000  0.5024  2 P 2.24

***

Entry Q
This record from Alexandria describes Tl2ReP after structural relaxation. The functional is PBEsol.

Output
DOS at the Fermi energy: 2.660 states/eV/f.u.
Calculated density: 13.8 g/cm³

Cell lengths 2.8854, 5.2220, 5.2220 Å; angles 106.47, 90.00, 90.00 degrees
With the nearest neighbours (Å) after each atom.
Element x y z (fractional)
P  0.5000  0.0000  0.0000  2 P 2.89, 8 Tl 2.98, 2 Re 3.13
Tl  0.0000  0.0000  0.5000  4 Tl 2.89-3.13, 4 P 2.98, 4 Re 2.98
Re  0.5000  0.5000  0.5000  2 Re 2.89, 8 Tl 2.98, 2 P 3.13
Tl  0.0000  0.5000  0.0000  4 Tl 2.89-3.13, 4 Re 2.98, 4 P 2.98

***

Entry R
This record from Alexandria describes Tl2ReP after structural relaxation. The functional is PBEsol.

Output
DOS at the Fermi energy: 4.223 states/eV/f.u.
Calculated density: 13.5 g/cm³

Cell lengths 2.9768, 2.9768, 8.7155 Å; angles 90.00, 90.00, 90.00 degrees
With the nearest neighbours (Å) after each atom.
Element x y z (fractional)
P  0.5000  0.5000  0.0000  4 P 2.98, 8 Tl 3.09
Tl  0.0000  0.0000  0.7411  4 Re 2.97, 4 Tl 2.98, 4 P 3.09
Re  0.5000  0.5000  0.5000  8 Tl 2.97, 4 Re 2.98
Tl  0.0000  0.0000  0.2589  4 Re 2.97, 4 Tl 2.98, 4 P 3.09

***

Entry S
This record from Alexandria describes Tl2ReP after structural relaxation. The functional is PBEsol.

Output
DOS at the Fermi energy: 2.725 states/eV/f.u.
Calculated density: 12.6 g/cm³

Cell lengths 3.1261, 3.1261, 9.9074 Å; angles 80.92, 80.92, 60.00 degrees
With the nearest neighbours (Å) after each atom.
Element x y z (fractional)
Tl  0.7576  0.7576  0.7271  6 Tl 3.13, 3 P 3.31
P  0.5193  0.5193  0.4420  3 Re 2.34
Re  0.2369  0.2369  0.2892  3 P 2.34
Tl  0.9861  0.9861  0.0417  3 Re 3.01, 6 Tl 3.13

***

Top of the stability list: entry S, leading by 426 meV per atom.

***

Entry P
This record from Alexandria describes YReP2 after structural relaxation. The functional is PBEsol.

Output
DOS at the Fermi energy: 0.943 states/eV/f.u.
Calculated density: 8.3 g/cm³

Cell lengths 3.3581, 3.9401, 5.8751 Å; angles 104.38, 90.00, 115.22 degrees
With the nearest neighbours (Å) after each atom.
Element x y z (fractional)
Y  0.5000  0.0000  0.0000  6 P 2.76-2.81
Re  0.0000  0.0000  0.5000  6 P 2.42-2.45
P  0.7410  0.4820  0.6936  3 Re 2.42-2.45
P  0.2590  0.5180  0.3064  3 Re 2.42-2.45

***

Entry Q
This record from Alexandria describes YReP2 after structural relaxation. The functional is PBEsol.

Output
DOS at the Fermi energy: 1.109 states/eV/f.u.
Calculated density: 8.3 g/cm³

Cell lengths 3.1611, 3.4186, 6.6952 Å; angles 104.79, 103.65, 90.00 degrees
With the nearest neighbours (Å) after each atom.
Element x y z (fractional)
Re  0.4544  0.4544  0.9087  6 P 2.38-2.52
P  0.8129  0.3129  0.6258  2 Re 2.38
P  0.0312  0.0312  0.0624  4 Re 2.52, 2 Y 2.74
Y  0.2015  0.7015  0.4030  6 P 2.72-2.74

***

Top of the stability list: entry P, leading by 63 meV per atom.

***

Entry P
This record from Alexandria describes P3Rh after structural relaxation. The functional is PBEsol.

Output
DOS at the Fermi energy: 0.215 states/eV/f.u.
Calculated density: 5.1 g/cm³

Cell lengths 6.9050, 6.9050, 6.9050 Å; angles 109.47, 109.47, 109.47 degrees
With the nearest neighbours (Å) after each atom.
Element x y z (fractional)
P  0.7861  0.1409  0.6452  2 P 2.25-2.32, 2 Rh 2.33
P  0.8591  0.3548  0.2139  2 P 2.25-2.32, 2 Rh 2.33
Rh  0.0000  0.5000  0.0000  6 P 2.33
P  0.3548  0.2139  0.8591  2 P 2.25-2.32, 2 Rh 2.33
P  0.1409  0.6452  0.7861  2 P 2.25-2.32, 2 Rh 2.33
P  0.3548  0.4957  0.1409  2 P 2.25-2.32, 2 Rh 2.33
P  0.6452  0.5043  0.8591  2 P 2.25-2.32, 2 Rh 2.33
P  0.1409  0.3548  0.4957  2 P 2.25-2.32, 2 Rh 2.33
P  0.8591  0.6452  0.5043  2 P 2.25-2.32, 2 Rh 2.33
P  0.2139  0.8591  0.3548  2 P 2.25-2.32, 2 Rh 2.33
Rh  0.5000  0.5000  0.5000  6 P 2.33
P  0.6452  0.7861  0.1409  2 P 2.25-2.32, 2 Rh 2.33
P  0.4957  0.1409  0.3548  2 P 2.25-2.32, 2 Rh 2.33
Rh  0.0000  0.0000  0.5000  6 P 2.33
Rh  0.5000  0.0000  0.0000  6 P 2.33
P  0.5043  0.8591  0.6452  2 P 2.25-2.32, 2 Rh 2.33

***

Entry Q
This record from Alexandria describes P3Rh after structural relaxation. The functional is PBEsol.

Output
DOS at the Fermi energy: 1.180 states/eV/f.u.
Calculated density: 5.3 g/cm³

Cell lengths 3.2578, 3.6463, 5.6773 Å; angles 108.73, 106.67, 90.00 degrees
With the nearest neighbours (Å) after each atom.
Element x y z (fractional)
P  0.1640  0.1640  0.3280  2 P 2.34, 2 Rh 2.48
Rh  0.0000  0.5000  0.0000  8 P 2.44-2.48
P  0.5000  0.0000  0.0000  4 P 2.34, 4 Rh 2.44
P  0.8360  0.8360  0.6720  2 P 2.34, 2 Rh 2.48

***

Top of the stability list: entry P, leading by 668 meV per atom.